Record 1
Here is crystalline Na3LiCr3O8 at its relaxed geometry from Alexandria via LeMat-Bulk. Energies are from PBE+U.

The structure belongs to space group R-3m (No. 166, hexagonal axes); the cell edges are 5.9046, 5.9046 and 16.1920 Å and the angles 90.00°, 90.00° and 120.00°. The inequivalent atoms are Na at (0.0000, 0.5000, 0.0000), Li at (0.0000, 0.0000, 0.5000), Cr at (0.0000, 0.5000, 0.5000), O at (0.0000, 0.0000, 0.2351) and O at (0.0224, 0.5112, 0.7714).



Record 2
Here is crystalline Na2LiCrO4 at its relaxed geometry from Alexandria via LeMat-Bulk. Energies are from PBE+U.

The structure belongs to space group I-42m (No. 121); the cell edges are 5.967, 5.967 and 5.355 Å and the angles 90.00°, 90.00° and 90.00°. The inequivalent atoms are Na at (0.000, 0.500, 0.000), Li at (0.000, 0.000, 0.000), Cr at (0.000, 0.000, 0.500) and O at (0.159, 0.159, 0.295).



Number 1: final energy -6.247 eV/atom. Number 2: final energy -5.576 eV/atom.